1.
This record from Alexandria via LeMat-Bulk describes a relaxed AcBiPbO6 crystal. The functional is PBE-GGA.

The structure in CIF format:
```
data_AcBiPbO6
_chemical_formula_sum 'Ac2 Bi2 Pb2 O12'
_symmetry_space_group_name_H-M 'P 42 n m'
_symmetry_Int_Tables_number 102
_cell_length_a 5.276
_cell_length_b 5.276
_cell_length_c 10.703
_cell_angle_alpha 90.00
_cell_angle_beta 90.00
_cell_angle_gamma 90.00
loop_
_symmetry_equiv_pos_as_xyz
'x,y,z'
'-y+1/2,x+1/2,z+1/2'
'-x,-y,z'
'y+1/2,-x+1/2,z+1/2'
'-x+1/2,y+1/2,z+1/2'
'y,x,z'
'x+1/2,-y+1/2,z+1/2'
'-y,-x,z'
loop_
_atom_site_label
_atom_site_type_symbol
_atom_site_fract_x
_atom_site_fract_y
_atom_site_fract_z
Ac1 Ac 0.000 0.000 0.000
Bi1 Bi 0.000 0.000 0.666
Pb1 Pb 0.000 0.000 0.332
O1 O 0.175 0.175 0.503
O2 O 0.203 0.203 0.814
O3 O 0.211 0.211 0.179
```

Output
**Calculated density**: 8.24 Mg/m³
**Formation energy from raw total energies**: -1.49 eV per atom


2.
This record from Alexandria via LeMat-Bulk describes a relaxed Ac2Bi2PbO2 crystal. The functional is PBE-GGA.

The structure in CIF format:
```
data_Ac2Bi2PbO2
_chemical_formula_sum 'Ac2 Bi2 Pb1 O2'
_symmetry_space_group_name_H-M 'P -3 m 1'
_symmetry_Int_Tables_number 164
_symmetry_space_group_name_Hall '-P 3 2"'
_cell_length_a 3.9974
_cell_length_b 3.9974
_cell_length_c 16.0350
_cell_angle_alpha 90.00
_cell_angle_beta 90.00
_cell_angle_gamma 120.00
loop_
_atom_site_label
_atom_site_type_symbol
_atom_site_fract_x
_atom_site_fract_y
_atom_site_fract_z
Ac1 Ac 0.3333 0.6667 0.3138
Bi1 Bi 0.0000 0.0000 0.0916
Pb1 Pb 0.0000 0.0000 0.5000
O1 O 0.3333 0.6667 0.7149
```

Output
**Calculated density**: 8.32 Mg/m³
**Formation energy from raw total energies**: -1.45 eV per atom


3.
This record from Alexandria via LeMat-Bulk describes a relaxed AcBiPb2O8 crystal. The functional is PBE-GGA.

The structure in CIF format:
```
data_AcBiPb2O8
_chemical_formula_sum 'Ac2 Bi2 Pb4 O16'
_symmetry_space_group_name_H-M 'I -4'
_symmetry_Int_Tables_number 82
_cell_length_a 5.505
_cell_length_b 5.505
_cell_length_c 11.836
_cell_angle_alpha 90.00
_cell_angle_beta 90.00
_cell_angle_gamma 90.00
loop_
_symmetry_equiv_pos_as_xyz
'x,y,z'
'y,-x,-z'
'-x,-y,z'
'-y,x,-z'
'x+1/2,y+1/2,z+1/2'
'y+1/2,-x+1/2,-z+1/2'
'-x+1/2,-y+1/2,z+1/2'
'-y+1/2,x+1/2,-z+1/2'
loop_
_atom_site_label
_atom_site_type_symbol
_atom_site_fract_x
_atom_site_fract_y
_atom_site_fract_z
Ac1 Ac 0.000 0.000 0.000
Bi1 Bi 0.000 0.500 0.250
Pb1 Pb 0.000 0.000 0.500
Pb2 Pb 0.000 0.500 0.750
O1 O 0.191 0.255 0.398
O2 O 0.219 0.770 0.835
```

Output
**Calculated density**: 9.06 Mg/m³
**Formation energy from raw total energies**: -1.28 eV per atom


4.
This record from Alexandria via LeMat-Bulk describes a relaxed Ac2BiPbO6 crystal. The functional is PBE-GGA.

The structure in CIF format:
```
data_Ac2BiPbO6
_chemical_formula_sum 'Ac6 Bi3 Pb3 O18'
_symmetry_space_group_name_H-M 'R 3'
_symmetry_Int_Tables_number 146
_symmetry_space_group_name_Hall 'R 3'
_cell_length_a 6.2795
_cell_length_b 6.2795
_cell_length_c 16.1163
_cell_angle_alpha 90.00
_cell_angle_beta 90.00
_cell_angle_gamma 120.00
loop_
_atom_site_label
_atom_site_type_symbol
_atom_site_fract_x
_atom_site_fract_y
_atom_site_fract_z
Ac1 Ac 0.0000 0.0000 0.0000
Ac2 Ac 0.0000 0.0000 0.4976
Bi1 Bi 0.0000 0.0000 0.7171
Pb1 Pb 0.0000 0.0000 0.2209
O1 O 0.0563 0.3584 0.7803
O2 O 0.0631 0.6907 0.2832
```

Output
**Calculated density**: 8.75 Mg/m³
**Formation energy from raw total energies**: -2.17 eV per atom


5.
This record from Alexandria via LeMat-Bulk describes a relaxed AcBiPdO crystal. The functional is PBE-GGA.

The structure in CIF format:
```
data_AcBiPdO
_chemical_formula_sum 'Ac2 Bi2 Pd2 O2'
_symmetry_space_group_name_H-M 'I 4 m m'
_symmetry_Int_Tables_number 107
_symmetry_space_group_name_Hall 'I 4 -2'
_cell_length_a 3.607
_cell_length_b 3.607
_cell_length_c 14.734
_cell_angle_alpha 90.00
_cell_angle_beta 90.00
_cell_angle_gamma 90.00
loop_
_atom_site_label
_atom_site_type_symbol
_atom_site_fract_x
_atom_site_fract_y
_atom_site_fract_z
Ac1 Ac 0.000 0.000 0.000
Bi1 Bi 0.000 0.000 0.250
Pd1 Pd 0.000 0.000 0.660
O1 O 0.000 0.000 0.490
```

Output
**Calculated density**: 9.68 Mg/m³
**Formation energy from raw total energies**: -1.47 eV per atom


6.
This record from Alexandria via LeMat-Bulk describes a relaxed Ac2BiPdO5 crystal. The functional is PBE-GGA.

The structure in CIF format:
```
data_Ac2BiPdO5
_chemical_formula_sum 'Ac4 Bi2 Pd2 O10'
_symmetry_space_group_name_H-M 'P 4/m b m'
_symmetry_Int_Tables_number 127
_symmetry_space_group_name_Hall '-P 4 2ab'
_cell_length_a 7.235
_cell_length_b 7.235
_cell_length_c 5.821
_cell_angle_alpha 90.00
_cell_angle_beta 90.00
_cell_angle_gamma 90.00
loop_
_atom_site_label
_atom_site_type_symbol
_atom_site_fract_x
_atom_site_fract_y
_atom_site_fract_z
Ac1 Ac 0.174 0.326 0.000
Bi1 Bi 0.000 0.000 0.500
Pd1 Pd 0.000 0.500 0.500
O1 O 0.000 0.000 0.000
O2 O 0.139 0.639 0.256
```

Output
**Calculated density**: 9.26 Mg/m³
**Formation energy from raw total energies**: -1.90 eV per atom


7.
This record from Alexandria via LeMat-Bulk describes a relaxed AcPm2BiO8 crystal. The functional is PBE-GGA.

The structure in CIF format:
```
data_AcPm2BiO8
_chemical_formula_sum 'Ac1 Pm2 Bi1 O8'
_symmetry_space_group_name_H-M 'P -1'
_symmetry_Int_Tables_number 2
_cell_length_a 4.045
_cell_length_b 5.786
_cell_length_c 7.738
_cell_angle_alpha 90.97
_cell_angle_beta 93.83
_cell_angle_gamma 92.07
loop_
_symmetry_equiv_pos_as_xyz
'x,y,z'
'-x,-y,-z'
loop_
_atom_site_label
_atom_site_type_symbol
_atom_site_fract_x
_atom_site_fract_y
_atom_site_fract_z
Ac1 Ac 0.000 0.000 0.000
Pm1 Pm 0.481 0.487 0.754
Bi1 Bi 0.000 0.000 0.500
O1 O 0.000 0.258 0.286
O2 O 0.037 0.761 0.285
O3 O 0.453 0.225 0.483
O4 O 0.491 0.737 0.996
```

Output
**Calculated density**: 7.85 Mg/m³
**Formation energy from raw total energies**: -2.26 eV per atom


8.
This record from Alexandria via LeMat-Bulk describes a relaxed AcPmBiO5 crystal. The functional is PBE-GGA.

The structure in CIF format:
```
data_AcPmBiO5
_chemical_formula_sum 'Ac4 Pm4 Bi4 O20'
_symmetry_space_group_name_H-M 'C 1 2/c 1'
_symmetry_Int_Tables_number 15
_cell_length_a 7.987
_cell_length_b 10.319
_cell_length_c 8.393
_cell_angle_alpha 90.00
_cell_angle_beta 117.52
_cell_angle_gamma 90.00
loop_
_symmetry_equiv_pos_as_xyz
'x,y,z'
'-x,-y,-z'
'-x,y,-z+1/2'
'x,-y,z+1/2'
'x+1/2,y+1/2,z'
'-x+1/2,-y+1/2,-z'
'-x+1/2,y+1/2,-z+1/2'
'x+1/2,-y+1/2,z+1/2'
loop_
_atom_site_label
_atom_site_type_symbol
_atom_site_fract_x
_atom_site_fract_y
_atom_site_fract_z
Ac1 Ac 0.000 0.185 0.250
Pm1 Pm 0.000 0.500 0.000
Bi1 Bi 0.000 0.179 0.750
O1 O 0.000 0.410 0.250
O2 O 0.118 0.280 0.592
O3 O 0.181 0.037 0.919
```

Output
**Calculated density**: 7.16 Mg/m³
**Formation energy from raw total energies**: -2.36 eV per atom


9.
This record from Alexandria via LeMat-Bulk describes a relaxed Ac2PrBi2O2 crystal. The functional is PBE-GGA.

The structure in CIF format:
```
data_Ac2PrBi2O2
_chemical_formula_sum 'Ac4 Pr2 Bi4 O4'
_symmetry_space_group_name_H-M 'I 4/m m m'
_symmetry_Int_Tables_number 139
_symmetry_space_group_name_Hall '-I 4 2'
_cell_length_a 4.684
_cell_length_b 4.684
_cell_length_c 17.478
_cell_angle_alpha 90.00
_cell_angle_beta 90.00
_cell_angle_gamma 90.00
loop_
_atom_site_label
_atom_site_type_symbol
_atom_site_fract_x
_atom_site_fract_y
_atom_site_fract_z
Ac1 Ac 0.000 0.000 0.113
Pr1 Pr 0.000 0.000 0.500
Bi1 Bi 0.000 0.000 0.310
O1 O 0.000 0.500 0.000
```

Output
**Calculated density**: 9.05 Mg/m³
**Formation energy from raw total energies**: -1.78 eV per atom


10.
This record from Alexandria via LeMat-Bulk describes a relaxed AcPrBiO2 crystal. The functional is PBE-GGA.

The structure in CIF format:
```
data_AcPrBiO2
_chemical_formula_sum 'Ac2 Pr2 Bi2 O4'
_symmetry_space_group_name_H-M 'I 4 m m'
_symmetry_Int_Tables_number 107
_symmetry_space_group_name_Hall 'I 4 -2'
_cell_length_a 4.137
_cell_length_b 4.137
_cell_length_c 14.487
_cell_angle_alpha 90.00
_cell_angle_beta 90.00
_cell_angle_gamma 90.00
loop_
_atom_site_label
_atom_site_type_symbol
_atom_site_fract_x
_atom_site_fract_y
_atom_site_fract_z
Ac1 Ac 0.000 0.000 0.000
Pr1 Pr 0.000 0.000 0.671
Bi1 Bi 0.000 0.000 0.331
O1 O 0.000 0.500 0.090
```

Output
**Calculated density**: 8.15 Mg/m³
**Formation energy from raw total energies**: -2.57 eV per atom


11.
This record from Alexandria via LeMat-Bulk describes a relaxed AcPrBi4O8 crystal. The functional is PBE-GGA.

The structure in CIF format:
```
data_AcPrBi4O8
_chemical_formula_sum 'Ac3 Pr3 Bi12 O24'
_symmetry_space_group_name_H-M 'R 3 m'
_symmetry_Int_Tables_number 160
_symmetry_space_group_name_Hall 'R 3 -2"'
_cell_length_a 7.2110
_cell_length_b 7.2110
_cell_length_c 18.5232
_cell_angle_alpha 90.00
_cell_angle_beta 90.00
_cell_angle_gamma 120.00
loop_
_atom_site_label
_atom_site_type_symbol
_atom_site_fract_x
_atom_site_fract_y
_atom_site_fract_z
Ac1 Ac 0.0000 0.0000 0.0000
Pr1 Pr 0.0000 0.0000 0.6231
Bi1 Bi 0.0000 0.0000 0.2046
Bi2 Bi 0.0039 0.5019 0.1217
O1 O 0.0000 0.0000 0.3994
O2 O 0.0000 0.0000 0.8678
O3 O 0.0377 0.5189 0.3711
O4 O 0.1914 0.3829 0.1980
```

Output
**Calculated density**: 7.95 Mg/m³
**Formation energy from raw total energies**: -1.72 eV per atom


12.
This record from Alexandria via LeMat-Bulk describes a relaxed Ac2BiPtO6 crystal. The functional is PBE-GGA.

The structure in CIF format:
```
data_Ac2BiPtO6
_chemical_formula_sum 'Ac4 Bi2 Pt2 O12'
_symmetry_space_group_name_H-M 'P 1 21/c 1'
_symmetry_Int_Tables_number 14
_cell_length_a 5.917
_cell_length_b 6.512
_cell_length_c 10.088
_cell_angle_alpha 90.00
_cell_angle_beta 125.04
_cell_angle_gamma 90.00
loop_
_symmetry_equiv_pos_as_xyz
'x,y,z'
'-x,-y,-z'
'-x,y+1/2,-z+1/2'
'x,-y+1/2,z+1/2'
loop_
_atom_site_label
_atom_site_type_symbol
_atom_site_fract_x
_atom_site_fract_y
_atom_site_fract_z
Ac1 Ac 0.231 0.073 0.252
Bi1 Bi 0.500 0.000 0.000
Pt1 Pt 0.000 0.000 0.500
O1 O 0.127 0.191 0.941
O2 O 0.249 0.681 0.951
O3 O 0.354 0.052 0.731
```

Output
**Calculated density**: 9.96 Mg/m³
**Formation energy from raw total energies**: -2.00 eV per atom


Number 1: uncorrected energy -54.86 eV per formula unit. Number 2: uncorrected energy -39.77 eV per formula unit. Number 3: uncorrected energy -70.49 eV per formula unit. Number 4: uncorrected energy -67.26 eV per formula unit. Number 5: uncorrected energy -24.01 eV per formula unit. Number 6: uncorrected energy -59.22 eV per formula unit. Number 7: uncorrected energy -84.22 eV per formula unit. Number 8: uncorrected energy -56.45 eV per formula unit. Number 9: uncorrected energy -43.14 eV per formula unit. Number 10: uncorrected energy -35.52 eV per formula unit. Number 11: uncorrected energy -88.19 eV per formula unit. Number 12: uncorrected energy -67.90 eV per formula unit.